Material: VRuW2
Method: DFT, PBE-GGA
State: relaxed

Values from the calculation:
Magnetic moment = 0.00 Bohr magnetons per cell
Energy above the most stable polymorph in this dataset = 0 meV/atom

Geometry as CIF:
```
data_VRuW2
_cell_length_a 3.0849
_cell_length_b 3.0849
_cell_length_c 6.2477
_cell_angle_alpha 90.00
_cell_angle_beta 90.00
_cell_angle_gamma 90.00
_symmetry_space_group_name_H-M 'P 4/m m m'
_symmetry_Int_Tables_number 123
_symmetry_space_group_name_Hall '-P 4 2'
loop_
_atom_site_label
_atom_site_type_symbol
_atom_site_fract_x
_atom_site_fract_y
_atom_site_fract_z
V1 V 0.0000 0.0000 0.0000
Ru1 Ru 0.0000 0.0000 0.5000
W1 W 0.5000 0.5000 0.2345
```